Record 1
Density functional theory data (PBE) for a relaxed structure of GdLuPb2.

It has space group Fm-3m (No. 225), with a = 7.691 Å, b = 7.691 Å, c = 7.691 Å, α = 90.00°, β = 90.00° and γ = 90.00°. Symmetry generates all atoms from Gd at (0.000, 0.000, 0.000), Lu at (0.000, 0.000, 0.500) and Pb at (0.250, 0.250, 0.250).

The value obtained for the energy of formation from the pure elements is -0.3578 eV/atom. The value obtained for the energy above the lowest structure with this stoichiometry is 0.21 eV per formula unit.



Record 2
Density functional theory data (PBE) for a relaxed structure of TbPr6In2.

It has space group C2/m (No. 12), with a = 13.237 Å, b = 3.878 Å, c = 12.236 Å, α = 90.00°, β = 108.13° and γ = 90.00°. Symmetry generates all atoms from Tb at (0.000, 0.000, 0.000), Pr at (0.019, 0.000, 0.338), Pr at (0.181, 0.500, 0.877), Pr at (0.193, 0.500, 0.592) and In at (0.141, 0.500, 0.195).

The value obtained for the energy of formation from the pure elements is -0.1976 eV/atom. The value obtained for the energy above the lowest structure with this stoichiometry is 0.00 eV per formula unit.



Record 3
Density functional theory data (PBE) for a relaxed structure of LaTbNd2Y5.

It has space group I4/mcm (No. 140), with a = 8.803 Å, b = 8.803 Å, c = 15.662 Å, α = 90.00°, β = 90.00° and γ = 90.00°. Symmetry generates all atoms from La at (0.000, 0.000, 0.250), Tb at (0.000, 0.500, 0.250), Nd at (0.117, 0.383, 0.000), Y at (0.000, 0.000, 0.000) and Y at (0.208, 0.292, 0.364).

The value obtained for the energy of formation from the pure elements is 0.2411 eV/atom.



Record 4
Density functional theory data (PBE) for a relaxed structure of ReMo2.

It has space group Fd-3m (No. 227, origin choice 2), with a = 7.260 Å, b = 7.260 Å, c = 7.260 Å, α = 90.00°, β = 90.00° and γ = 90.00°. Symmetry generates all atoms from Re at (0.125, 0.125, 0.125) and Mo at (0.000, 0.000, 0.500).

The value obtained for the energy of formation from the pure elements is 0.3973 eV/atom. The value obtained for the energy above the lowest structure with this stoichiometry is 1.06 eV per formula unit.



Record 5
Density functional theory data (PBE) for a relaxed structure of TaSiHg2.

It has space group Cmmm (No. 65), with a = 5.528 Å, b = 9.151 Å, c = 3.049 Å, α = 90.00°, β = 90.00° and γ = 90.00°. Symmetry generates all atoms from Ta at (0.000, 0.000, 0.000), Si at (0.000, 0.500, 0.000) and Hg at (0.250, 0.250, 0.500).

The formation energy without anion corrections is 1.78 eV per formula unit.



Record 6
Density functional theory data (PBE) for a relaxed structure of CsPd2WS.

It has space group P4/mmm (No. 123), with a = 5.044 Å, b = 5.044 Å, c = 6.446 Å, α = 90.00°, β = 90.00° and γ = 90.00°. Symmetry generates all atoms from Cs at (0.000, 0.000, 0.000), Pd at (0.000, 0.500, 0.000), W at (0.000, 0.000, 0.500) and S at (0.500, 0.500, 0.500).

The formation energy without anion corrections is 12.46 eV per formula unit.



Table of density (g/cm³), in record order: 10.90, 6.86, 5.64, 13.13, 13.14, 5.69
Table of E (Ry/atom), in record order: -0.504, -0.331, -0.402, -0.806, -0.296, -0.233